Record 1
Material: Sr3ScNb
Method: DFT, PBE
State: optimized geometry

Computed properties:
excess energy over the best structure of this formula in the dataset = 0.000 eV/atom
energy of formation from the pure elements = 1.075 eV/atom
size of the total moment = 1.48 μB/cell
electronic total energy = -16.073 eV/cell

Cell lengths 5.876, 5.876, 5.876 Å; angles 90.00, 90.00, 90.00 degrees
Space group Pm-3m (No. 221)
Unique sites:
Sr: 0.000 0.000 0.500
Sc: 0.500 0.500 0.500
Nb: 0.000 0.000 0.000

***

Record 2
Material: K2In2Ag
Method: DFT, PBE
State: optimized geometry

Computed properties:
excess energy over the best structure of this formula in the dataset = 0.255 eV/atom
energy of formation from the pure elements = 0.229 eV/atom
size of the total moment = 0.00 μB/cell
electronic total energy = -18.754 eV/cell

Cell lengths 10.763, 10.763, 3.200 Å; angles 90.00, 90.00, 90.00 degrees
Space group P4/mbm (No. 127)
Unique sites:
K: 0.200 0.300 0.000
In: 0.095 0.595 0.500
Ag: 0.000 0.000 0.000

***

Record 3
Material: Rb2GeP
Method: DFT, PBE
State: optimized geometry

Computed properties:
excess energy over the best structure of this formula in the dataset = 0.206 eV/atom
energy of formation from the pure elements = -0.031 eV/atom
size of the total moment = 0.00 μB/cell
electronic total energy = -48.343 eV/cell

Cell lengths 13.210, 13.210, 4.806 Å; angles 90.00, 90.00, 90.00 degrees
Space group I-42d (No. 122)
Unique sites:
Rb: 0.044 0.250 0.125
Ge: 0.000 0.000 0.500
P: 0.000 0.000 0.000

***

Record 4
Material: LaTb2SmEr5
Method: DFT, PBE
State: optimized geometry

Computed properties:
energy of formation from the pure elements = 0.271 eV/atom
size of the total moment = 0.01 μB/cell
electronic total energy = -157.147 eV/cell

Cell lengths 8.800, 8.800, 15.101 Å; angles 90.00, 90.00, 90.00 degrees
Space group I4/mcm (No. 140)
Unique sites:
La: 0.000 0.000 0.250
Tb: 0.115 0.385 0.000
Sm: 0.000 0.500 0.250
Er: 0.000 0.000 0.000
Er: 0.205 0.295 0.368

***

Record 5
Material: ScInCu2P
Method: DFT, PBE
State: optimized geometry

Computed properties:
energy of formation from the pure elements = -0.197 eV/atom
size of the total moment = 0.00 μB/cell
electronic total energy = -23.659 eV/cell

Cell lengths 4.401, 4.401, 4.967 Å; angles 90.00, 90.00, 90.00 degrees
Space group P4/mmm (No. 123)
Unique sites:
Sc: 0.000 0.000 0.000
In: 0.500 0.500 0.000
Cu: 0.000 0.500 0.500
P: 0.000 0.000 0.500

***

Record 6
Material: TlMoRh2
Method: DFT, PBE
State: optimized geometry

Computed properties:
excess energy over the best structure of this formula in the dataset = 0.290 eV/atom
energy of formation from the pure elements = 0.284 eV/atom
size of the total moment = 0.00 μB/cell
electronic total energy = -26.763 eV/cell

Cell lengths 2.932, 2.932, 7.751 Å; angles 90.00, 90.00, 90.00 degrees
Space group P4mm (No. 99)
Unique sites:
Tl: 0.000 0.000 0.000
Mo: 0.500 0.500 0.290
Rh: 0.000 0.000 0.502
Rh: 0.500 0.500 0.748

***

Record 7
Material: Li2BiSb
Method: DFT, PBE
State: optimized geometry

Computed properties:
excess energy over the best structure of this formula in the dataset = 0.103 eV/atom
formation energy without anion corrections = -0.28 eV per atom
size of the total moment = 0.00 μB/cell
electronic total energy = -38.872 eV/cell

Cell lengths 4.5813, 4.5813, 16.5409 Å; angles 90.00, 90.00, 120.00 degrees
Space group R3m (No. 160, hexagonal axes)
Unique sites:
Li: 0.0000 0.0000 0.0000
Li: 0.0000 0.0000 0.2031
Bi: 0.0000 0.0000 0.4291
Sb: 0.0000 0.0000 0.6065

***

Record 8
Material: Ca5YCd6
Method: DFT, PBE
State: optimized geometry

Computed properties:
energy of formation from the pure elements = -0.362 eV/atom
size of the total moment = 0.00 μB/cell
electronic total energy = -52.606 eV/cell

Cell lengths 5.389, 16.123, 7.685 Å; angles 90.00, 90.00, 90.00 degrees
Space group Cmmm (No. 65)
Unique sites:
Ca: 0.000 0.000 0.000
Ca: 0.000 0.333 0.000
Ca: 0.000 0.333 0.500
Y: 0.000 0.000 0.500
Cd: 0.000 0.164 0.254
Cd: 0.000 0.500 0.259

***

Record 9
Material: AlCoCu2
Method: DFT, PBE
State: optimized geometry

Computed properties:
energy of formation from the pure elements = -0.106 eV/atom
size of the total moment = 1.41 μB/cell
electronic total energy = -38.930 eV/cell

Cell lengths 9.127, 2.671, 4.408 Å; angles 90.00, 115.73, 90.00 degrees
Space group Cm (No. 8)
Unique sites:
Al: 0.000 0.000 0.000
Co: 0.256 0.000 0.903
Cu: 0.004 0.500 0.503
Cu: 0.252 0.500 0.398

***

Record 10
Material: LiTm2Hg2
Method: DFT, PBE
State: optimized geometry

Computed properties:
energy of formation from the pure elements = -0.250 eV/atom
size of the total moment = 0.00 μB/cell
electronic total energy = -50.850 eV/cell

Cell lengths 7.457, 11.967, 5.661 Å; angles 90.00, 90.00, 90.00 degrees
Space group Ibam (No. 72)
Unique sites:
Li: 0.000 0.000 0.250
Tm: 0.166 0.321 0.000
Hg: 0.210 0.420 0.500

***

Record 11
Material: AgSbPt2Se
Method: DFT, PBE
State: optimized geometry

Computed properties:
formation energy without anion corrections = 0.86 eV per atom
size of the total moment = 0.00 μB/cell
electronic total energy = -18.231 eV/cell

Cell lengths 4.976, 4.976, 5.191 Å; angles 90.00, 90.00, 90.00 degrees
Space group P4/mmm (No. 123)
Unique sites:
Ag: 0.000 0.000 0.000
Sb: 0.000 0.000 0.500
Pt: 0.000 0.500 0.500
Se: 0.500 0.500 0.000

***

Record 12
Material: HfAlNi2B
Method: DFT, PBE
State: optimized geometry

Computed properties:
energy of formation from the pure elements = -0.142 eV/atom
size of the total moment = 0.00 μB/cell
electronic total energy = -32.648 eV/cell

Cell lengths 3.979, 3.979, 4.111 Å; angles 90.00, 90.00, 90.00 degrees
Space group P4/mmm (No. 123)
Unique sites:
Hf: 0.000 0.000 0.000
Al: 0.500 0.500 0.000
Ni: 0.000 0.500 0.500
B: 0.500 0.500 0.500

***

Record 13
Material: CdTcCl2
Method: DFT, PBE
State: optimized geometry

Computed properties:
excess energy over the best structure of this formula in the dataset = 0.661 eV/atom
formation energy without anion corrections = 0.46 eV per atom
size of the total moment = 7.68 μB/cell
electronic total energy = -26.302 eV/cell

Cell lengths 6.359, 8.006, 3.336 Å; angles 90.00, 90.00, 90.00 degrees
Space group Cmmm (No. 65)
Unique sites:
Cd: 0.000 0.000 0.000
Tc: 0.000 0.500 0.000
Cl: 0.250 0.250 0.500

***

Record 14
Material: CdReRu2
Method: DFT, PBE
State: optimized geometry

Computed properties:
energy of formation from the pure elements = 0.261 eV/atom
size of the total moment = 0.00 μB/cell
electronic total energy = -92.616 eV/cell

Cell lengths 2.7850, 2.7850, 27.7947 Å; angles 90.00, 90.00, 120.00 degrees
Space group R3m (No. 160, hexagonal axes)
Unique sites:
Cd: 0.0000 0.0000 0.0000
Re: 0.0000 0.0000 0.7590
Ru: 0.0000 0.0000 0.2453
Ru: 0.0000 0.0000 0.5015

***

Record 15
Material: ScPN3
Method: DFT, PBE
State: optimized geometry

Computed properties:
formation energy without anion corrections = -0.59 eV per atom
size of the total moment = 1.10 μB/cell
electronic total energy = -79.351 eV/cell

Cell lengths 5.501, 3.575, 6.074 Å; angles 90.00, 111.32, 90.00 degrees
Space group P2_1/m (No. 11)
Unique sites:
Sc: 0.008 0.250 0.254
P: 0.492 0.750 0.169
N: 0.202 0.750 0.183
N: 0.213 0.250 0.629
N: 0.469 0.750 0.876

***

Record 16
Material: GdPaRh
Method: DFT, PBE
State: optimized geometry

Computed properties:
excess energy over the best structure of this formula in the dataset = 0.267 eV/atom
energy of formation from the pure elements = -0.189 eV/atom
size of the total moment = 6.86 μB/cell
electronic total energy = -31.495 eV/cell

Cell lengths 4.6997, 4.6997, 3.5166 Å; angles 90.00, 90.00, 120.00 degrees
Space group P3m1 (No. 156)
Unique sites:
Gd: 0.0000 0.0000 0.0000
Pa: 0.6667 0.3333 0.3765
Rh: 0.3333 0.6667 0.6225

***

Record 17
Material: La2MnCu2S6
Method: DFT, PBE
State: optimized geometry

Computed properties:
formation energy without anion corrections = -0.98 eV per atom
size of the total moment = 9.04 μB/cell
electronic total energy = -188.313 eV/cell

Cell lengths 6.8412, 6.8412, 17.2019 Å; angles 90.00, 90.00, 120.00 degrees
Space group R-3m (No. 166, hexagonal axes)
Unique sites:
La: 0.0000 0.0000 0.2180
Mn: 0.0000 0.0000 0.0000
Cu: 0.0000 0.0000 0.4124
S: 0.0321 0.5160 0.7537

***

Record 18
Material: SrNdZnSn
Method: DFT, PBE
State: optimized geometry

Computed properties:
energy of formation from the pure elements = -0.429 eV/atom
size of the total moment = 0.00 μB/cell
electronic total energy = -53.767 eV/cell

Cell lengths 7.759, 7.759, 7.759 Å; angles 90.00, 90.00, 90.00 degrees
Space group F-43m (No. 216)
Unique sites:
Sr: 0.000 0.000 0.000
Nd: 0.000 0.000 0.500
Zn: 0.250 0.250 0.250
Sn: 0.250 0.250 0.750

***

Record 19
Material: Tm2ScHg6
Method: DFT, PBE
State: optimized geometry

Computed properties:
energy of formation from the pure elements = -0.339 eV/atom
size of the total moment = 0.00 μB/cell
electronic total energy = -80.545 eV/cell

Cell lengths 14.114, 11.482, 5.334 Å; angles 90.00, 100.07, 90.00 degrees
Space group C2/c (No. 15)
Unique sites:
Tm: 0.167 0.126 0.082
Sc: 0.000 0.376 0.250
Hg: 0.056 0.128 0.527
Hg: 0.108 0.377 0.805
Hg: 0.218 0.375 0.362

***

Record 20
Material: Cd3In2Ag2
Method: DFT, PBE
State: optimized geometry

Computed properties:
energy of formation from the pure elements = 0.024 eV/atom
size of the total moment = 0.00 μB/cell
electronic total energy = -13.758 eV/cell

Cell lengths 3.865, 5.357, 8.374 Å; angles 94.50, 90.55, 110.72 degrees
Space group P-1 (No. 2)
Unique sites:
Cd: 0.000 0.000 0.000
Cd: 0.290 0.581 0.134
In: 0.368 0.731 0.633
Ag: 0.081 0.161 0.651

***

Record 21
Material: Sm4TlPbO
Method: DFT, PBE
State: optimized geometry

Computed properties:
formation energy without anion corrections = -1.10 eV per atom
size of the total moment = 0.00 μB/cell
electronic total energy = -150.487 eV/cell

Cell lengths 6.644, 17.493, 6.630 Å; angles 90.00, 90.00, 90.00 degrees
Space group Cmcm (No. 63)
Unique sites:
Sm: 0.000 0.066 0.250
Sm: 0.000 0.418 0.250
Sm: 0.250 0.250 0.000
Tl: 0.000 0.113 0.750
Pb: 0.000 0.391 0.750
O: 0.000 0.278 0.250

***

Record 22
Material: TaTl2InCl8
Method: DFT, PBE
State: optimized geometry

Computed properties:
formation energy without anion corrections = -1.14 eV per atom
size of the total moment = 0.00 μB/cell
electronic total energy = -47.832 eV/cell

Cell lengths 6.795, 7.250, 8.976 Å; angles 89.82, 89.82, 88.87 degrees
Space group P-1 (No. 2)
Unique sites:
Ta: 0.000 0.000 0.000
Tl: 0.499 0.500 0.742
In: 0.000 0.000 0.500
Cl: 0.164 0.710 0.001
Cl: 0.217 0.105 0.810
Cl: 0.217 0.106 0.188
Cl: 0.282 0.678 0.500

***

Record 23
Material: BeFeAu2
Method: DFT, PBE
State: optimized geometry

Computed properties:
energy of formation from the pure elements = 0.060 eV/atom
size of the total moment = 2.49 μB/cell
electronic total energy = -18.504 eV/cell

Cell lengths 2.789, 3.483, 6.095 Å; angles 90.00, 102.83, 90.00 degrees
Space group Pm (No. 6)
Unique sites:
Be: 0.000 0.000 0.000
Fe: 0.567 0.500 0.146
Au: 0.197 0.000 0.409
Au: 0.861 0.500 0.738

***

Record 24
Material: Sm2FeAgC
Method: DFT, PBE
State: optimized geometry

Computed properties:
energy of formation from the pure elements = -0.235 eV/atom
size of the total moment = 0.25 μB/cell
electronic total energy = -31.150 eV/cell

Cell lengths 5.165, 5.165, 3.688 Å; angles 90.00, 90.00, 90.00 degrees
Space group P4/mmm (No. 123)
Unique sites:
Sm: 0.000 0.500 0.000
Fe: 0.000 0.000 0.500
Ag: 0.500 0.500 0.500
C: 0.000 0.000 0.000

***

Record 25
Material: DyLu2Zr
Method: DFT, PBE
State: optimized geometry

Computed properties:
excess energy over the best structure of this formula in the dataset = 0.078 eV/atom
energy of formation from the pure elements = 0.153 eV/atom
size of the total moment = 0.01 μB/cell
electronic total energy = -21.579 eV/cell

Cell lengths 3.937, 3.937, 7.270 Å; angles 90.00, 90.00, 90.00 degrees
Space group P4/mmm (No. 123)
Unique sites:
Dy: 0.000 0.000 0.000
Lu: 0.500 0.500 0.275
Zr: 0.000 0.000 0.500